Density functional theory data (GGA-PBE) for an optimized crystal structure of RbSnF3. Values from VASP.

Cell and atoms, written as Quantum ESPRESSO input:
```
&SYSTEM
  ibrav = 0, nat = 5, ntyp = 3
/
ATOMIC_SPECIES
Sn 118.71 Sn.upf
Rb 85.47 Rb.upf
F 19.00 F.upf
CELL_PARAMETERS angstrom
-0.001 -3.675 -0.938
3.879 -1.200 4.696
-5.655 -0.632 2.482
ATOMIC_POSITIONS angstrom
Sn -1.273 -0.893 3.500
Rb -5.078 -2.504 2.147
F -1.231 -2.370 1.618
F -1.896 -3.056 4.308
F -3.277 -0.774 3.034
```

Output
* formation energy from raw total energies: -12.12 eV/f.u.
* size of the total moment: 0.000 μB/atom

***

Density functional theory data (GGA-PBE) for an optimized crystal structure of PaCd2In2. Values from VASP.

Cell and atoms, written as Quantum ESPRESSO input:
```
&SYSTEM
  ibrav = 0, nat = 5, ntyp = 3
/
ATOMIC_SPECIES
Pa 231.04 Pa.upf
Cd 112.41 Cd.upf
In 114.82 In.upf
CELL_PARAMETERS angstrom
5.805 -4.569 3.958
1.892 -2.542 7.759
-4.473 0.963 -7.022
ATOMIC_POSITIONS angstrom
Pa 0.000 0.000 0.000
Cd 0.301 -2.260 2.791
Cd 2.923 -3.888 1.904
In 4.637 -4.284 7.059
In 3.060 -2.827 4.658
```

Output
* formation energy from the elements: -0.5 meV/atom
* size of the total moment: 0.190 μB/atom

***

Density functional theory data (GGA-PBE) for an optimized crystal structure of BaNbO3. Values from VASP.

Cell and atoms, written as Quantum ESPRESSO input:
```
&SYSTEM
  ibrav = 0, nat = 20, ntyp = 3
/
ATOMIC_SPECIES
Nb 92.91 Nb.upf
Ba 137.33 Ba.upf
O 16.00 O.upf
CELL_PARAMETERS angstrom
19.217 0.000 -1.436
0.000 6.200 0.000
-6.803 0.000 3.238
ATOMIC_POSITIONS angstrom
Nb -1.629 1.550 1.876
Nb 14.044 4.650 -0.075
Nb 1.034 4.650 2.263
Nb 11.380 1.550 -0.461
Ba 4.691 4.650 0.679
Ba 7.723 1.550 1.123
Ba 1.516 1.550 0.222
Ba 10.898 4.650 1.580
O -0.298 0.000 2.069
O 12.712 0.000 -0.268
O -0.298 3.100 2.069
O 12.712 3.100 -0.268
O 4.905 1.550 0.712
O 7.509 4.650 1.090
O 1.302 4.650 0.189
O 11.113 1.550 1.613
O 9.701 4.650 -0.704
O 2.713 1.550 2.506
O 15.723 1.550 0.169
O -3.308 4.650 1.633
```

Output
* formation energy from raw total energies: -12.70 eV/f.u.
* size of the total moment: 0.000 μB/atom

***

| no. | Fermi-level density of states (states/eV/atom) | total energy (eV/f.u.) |
| --- | --- | --- |
| 1 | 0.000 | -22.70 |
| 2 | 1.050 | -16.81 |
| 3 | 0.372 | -39.57 |